Density functional theory data (PBE-GGA) for a geometry-optimized K2Na3TlBr6 structure.

```
12
Lattice="-2.562 -3.628 0.585 7.183 -5.320 -1.543 1.393 3.308 9.464" Properties=species:S:1:pos:R:3 pbc="T T T"
Na 2.310 -4.474 -0.479
Tl -1.281 -1.814 0.292
Br 5.253 -3.870 -1.003
Na 0.012 -1.720 6.541
K 2.407 -1.260 2.731
Na 6.002 -3.921 1.965
Br 6.774 -3.988 4.931
Br 3.030 -4.499 2.521
Br 2.984 -1.142 5.985
Br -0.760 -1.653 3.576
Br 0.761 -1.770 9.509
K 3.606 -4.381 5.775
```

Computed properties:
Density of states at the Fermi level   0.00 states/eV per cell
Uncorrected formation energy   -1.4944 eV per atom